A relaxed InFeCuAu crystal. Source: the Open Quantum Materials Database, functional PBE.

Geometry as POSCAR:
```
InFeCuAu
1.0
0.000 3.164 3.164
3.164 0.000 3.164
3.164 3.164 0.000
Au Cu Fe In
1 1 1 1
Cartesian
3.164 3.164 3.164
4.746 4.746 4.746
1.582 1.582 1.582
0.000 0.000 0.000
```

Results
The value obtained for the distance to the lowest polymorph of the same formula is 0.0 meV/atom. Its space-group type is No. 216.